The following is a PBE calculation of a relaxed structure of AgHgI2, from Alexandria via LeMat-Bulk.

- D(E_F) (states/eV/f.u.) = 0.00
- SG = P1
- calculated total energy (eV/atom) = -1.793
- energy above the most stable polymorph in this dataset (eV/f.u.) = 0.025
- formation energy without anion corrections (eV/atom) = -0.230

Cell lengths 4.512, 7.064, 10.068 Å; angles 102.64, 94.22, 92.65 degrees
Sites, in units of the cell vectors:
Ag (0.000, 0.000, 0.000)
Ag (0.165, 0.621, 0.812)
Hg (0.484, 0.186, 0.367)
Hg (0.640, 0.013, 0.571)
I (0.017, 0.346, 0.231)
I (0.131, 0.191, 0.787)
I (0.503, 0.785, 0.062)
I (0.655, 0.633, 0.630)